An optimized crystal structure of TbHfAlAg. Source: Alexandria, functional PBE.

V   21.80 Å³/atom
Theoretical density   8.993 g/cm3
E_tot   -21.74 eV/f.u.
Energy relative to the elements   -0.57 eV/f.u.

a = 7.0393 Å, b = 7.0393 Å, c = 7.0393 Å
α = 90.00°, β = 90.00°, γ = 90.00°
Space group F-43m (No. 216)
Asymmetric unit:
Tb: 0.0000 0.0000 0.0000
Hf: 0.0000 0.0000 0.5000
Al: 0.2500 0.2500 0.7500
Ag: 0.2500 0.2500 0.2500

---

An optimized crystal structure of Y2Ni. Source: Alexandria, functional PBE.

V   25.46 Å³/atom
Theoretical density   5.142 g/cm3
E_tot   -19.12 eV/f.u.
Energy relative to the elements   -0.41 eV/f.u.

a = 6.7351 Å, b = 6.7351 Å, c = 6.7351 Å
α = 90.00°, β = 90.00°, γ = 90.00°
Space group Fm-3m (No. 225)
Asymmetric unit:
Y: 0.2500 0.2500 0.2500
Ni: 0.0000 0.0000 0.0000

---

An optimized crystal structure of Pm2TmIrO8. Source: Alexandria, functional PBE.

V   15.03 Å³/atom
Theoretical density   7.173 g/cm3
Formation energy from raw total energies   -2.29 eV per atom
E_tot   -89.98 eV/f.u.

a = 7.1972 Å, b = 7.3092 Å, c = 6.8571 Å
α = 90.00°, β = 90.00°, γ = 90.00°
Space group Cmmm (No. 65)
Asymmetric unit:
Pm: 0.0000 0.0000 0.2492
Tm: 0.0000 0.5000 0.0000
Ir: 0.0000 0.5000 0.5000
O: 0.0000 0.3228 0.2865
O: 0.2000 0.0000 0.0000
O: 0.2378 0.0000 0.5000

---

An optimized crystal structure of Sc2FePb. Source: Alexandria, functional PBE.

V   20.27 Å³/atom
Theoretical density   7.229 g/cm3
E_tot   -25.31 eV/f.u.
Energy relative to the elements   -0.48 eV/f.u.

a = 4.5694 Å, b = 4.5694 Å, c = 3.8830 Å
α = 90.00°, β = 90.00°, γ = 90.00°
Space group P4/mmm (No. 123)
Asymmetric unit:
Sc: 0.0000 0.5000 0.0000
Fe: 0.0000 0.0000 0.5000
Pb: 0.5000 0.5000 0.5000

---

An optimized crystal structure of YBe3. Source: Alexandria, functional PBE.

V   14.86 Å³/atom
Theoretical density   3.238 g/cm3
E_tot   -16.51 eV/f.u.
Relative energy among the computed polymorphs   358 meV per atom
Energy relative to the elements   1.13 eV/f.u.

a = 4.9469 Å, b = 6.4108 Å, c = 3.7492 Å
α = 90.00°, β = 90.00°, γ = 90.00°
Space group Cmmm (No. 65)
Asymmetric unit:
Y: 0.0000 0.0000 0.0000
Be: 0.0000 0.3408 0.5000
Be: 0.0000 0.5000 0.0000

---

An optimized crystal structure of RbPm2Gd. Source: Alexandria, functional PBE.

V   39.71 Å³/atom
Theoretical density   5.570 g/cm3
E_tot   -23.50 eV/f.u.
Energy relative to the elements   1.05 eV/f.u.

a = 3.6835 Å, b = 3.6835 Å, c = 40.5489 Å
α = 90.00°, β = 90.00°, γ = 120.00°
Space group R-3m (No. 166, hexagonal axes)
Asymmetric unit:
Rb: 0.0000 0.0000 0.0000
Pm: 0.0000 0.0000 0.0959
Gd: 0.0000 0.0000 0.5000

---

Q: Among the records above, which one has the lowest theoretical density?
A: YBe3